[1]
# NaCoHg2 GGA-PBE optimized geometry
data_NaCoHg2
_chemical_formula_sum 'Na4 Co4 Hg8'
_symmetry_space_group_name_H-M 'F m -3 m'
_symmetry_Int_Tables_number 225
_symmetry_space_group_name_Hall '-F 4 2 3'
_cell_length_a 6.7506
_cell_length_b 6.7506
_cell_length_c 6.7506
_cell_angle_alpha 90.00
_cell_angle_beta 90.00
_cell_angle_gamma 90.00
loop_
_atom_site_label
_atom_site_fract_x
_atom_site_fract_y
_atom_site_fract_z
Na1 0.0000 0.0000 0.0000
Co1 0.0000 0.0000 0.5000
Hg1 0.2500 0.2500 0.2500
# - excess energy over the best structure of this formula in the dataset (kcal/mol of atoms) = 0.000
# - ΔE_f (eV/atom) = 0.299

[2]
# Na2CoHg GGA-PBE optimized geometry
data_Na2CoHg
_chemical_formula_sum 'Na8 Co4 Hg4'
_symmetry_space_group_name_H-M 'I -4 2 d'
_symmetry_Int_Tables_number 122
_symmetry_space_group_name_Hall 'I -4 2bw'
_cell_length_a 6.8684
_cell_length_b 6.8684
_cell_length_c 13.4700
_cell_angle_alpha 90.00
_cell_angle_beta 90.00
_cell_angle_gamma 90.00
loop_
_atom_site_label
_atom_site_fract_x
_atom_site_fract_y
_atom_site_fract_z
Na1 0.2210 0.2500 0.1250
Co1 0.0000 0.0000 0.0000
Hg1 0.0000 0.0000 0.5000
# - ΔE_f (eV/atom) = 0.936

[3]
# NaCoHg2 GGA-PBE optimized geometry
data_NaCoHg2
_chemical_formula_sum 'Na4 Co4 Hg8'
_symmetry_space_group_name_H-M 'I -4 2 d'
_symmetry_Int_Tables_number 122
_symmetry_space_group_name_Hall 'I -4 2bw'
_cell_length_a 4.9337
_cell_length_b 4.9337
_cell_length_c 17.4594
_cell_angle_alpha 90.00
_cell_angle_beta 90.00
_cell_angle_gamma 90.00
loop_
_atom_site_label
_atom_site_fract_x
_atom_site_fract_y
_atom_site_fract_z
Na1 0.0000 0.0000 0.0000
Co1 0.0000 0.0000 0.5000
Hg1 0.1649 0.2500 0.6250
# - excess energy over the best structure of this formula in the dataset (kcal/mol of atoms) = 3.702
# - ΔE_f (eV/atom) = 0.460

[4]
# Na3CoHg GGA-PBE optimized geometry
data_Na3CoHg
_chemical_formula_sum 'Na3 Co1 Hg1'
_symmetry_space_group_name_H-M 'P m -3 m'
_symmetry_Int_Tables_number 221
_symmetry_space_group_name_Hall '-P 4 2 3'
_cell_length_a 5.3790
_cell_length_b 5.3790
_cell_length_c 5.3790
_cell_angle_alpha 90.00
_cell_angle_beta 90.00
_cell_angle_gamma 90.00
loop_
_atom_site_label
_atom_site_fract_x
_atom_site_fract_y
_atom_site_fract_z
Na1 0.0000 0.0000 0.5000
Co1 0.0000 0.0000 0.0000
Hg1 0.5000 0.5000 0.5000
# - excess energy over the best structure of this formula in the dataset (kcal/mol of atoms) = 0.000
# - ΔE_f (eV/atom) = 0.699

[5]
# Na2CoHgOs GGA-PBE optimized geometry
data_Na2CoHgOs
_chemical_formula_sum 'Na2 Co1 Hg1 Os1'
_symmetry_space_group_name_H-M 'P 4/m m m'
_symmetry_Int_Tables_number 123
_symmetry_space_group_name_Hall '-P 4 2'
_cell_length_a 5.1564
_cell_length_b 5.1564
_cell_length_c 4.9339
_cell_angle_alpha 90.00
_cell_angle_beta 90.00
_cell_angle_gamma 90.00
loop_
_atom_site_label
_atom_site_fract_x
_atom_site_fract_y
_atom_site_fract_z
Na1 0.0000 0.5000 0.0000
Co1 0.0000 0.0000 0.5000
Hg1 0.0000 0.0000 0.0000
Os1 0.5000 0.5000 0.5000
# - ΔE_f (eV/atom) = 1.707

[6]
# NaCo2HgP GGA-PBE optimized geometry
data_NaCo2HgP
_chemical_formula_sum 'Na1 Co2 Hg1 P1'
_symmetry_space_group_name_H-M 'P 4/m m m'
_symmetry_Int_Tables_number 123
_symmetry_space_group_name_Hall '-P 4 2'
_cell_length_a 4.2983
_cell_length_b 4.2983
_cell_length_c 5.2493
_cell_angle_alpha 90.00
_cell_angle_beta 90.00
_cell_angle_gamma 90.00
loop_
_atom_site_label
_atom_site_fract_x
_atom_site_fract_y
_atom_site_fract_z
Na1 0.0000 0.0000 0.0000
Co1 0.0000 0.5000 0.5000
Hg1 0.5000 0.5000 0.0000
P1 0.0000 0.0000 0.5000
# - ΔE_f (eV/atom) = 0.237

[7]
# NaCoHg2Pb GGA-PBE optimized geometry
data_NaCoHg2Pb
_chemical_formula_sum 'Na1 Co1 Hg2 Pb1'
_symmetry_space_group_name_H-M 'P 4/m m m'
_symmetry_Int_Tables_number 123
_symmetry_space_group_name_Hall '-P 4 2'
_cell_length_a 5.1417
_cell_length_b 5.1417
_cell_length_c 4.9258
_cell_angle_alpha 90.00
_cell_angle_beta 90.00
_cell_angle_gamma 90.00
loop_
_atom_site_label
_atom_site_fract_x
_atom_site_fract_y
_atom_site_fract_z
Na1 0.0000 0.0000 0.0000
Co1 0.5000 0.5000 0.5000
Hg1 0.0000 0.5000 0.5000
Pb1 0.5000 0.5000 0.0000
# - ΔE_f (eV/atom) = 0.085

[8]
# NaCoHg2Se GGA-PBE optimized geometry
data_NaCoHg2Se
_chemical_formula_sum 'Na1 Co1 Hg2 Se1'
_symmetry_space_group_name_H-M 'P 4/m m m'
_symmetry_Int_Tables_number 123
_symmetry_space_group_name_Hall '-P 4 2'
_cell_length_a 4.9642
_cell_length_b 4.9642
_cell_length_c 5.5423
_cell_angle_alpha 90.00
_cell_angle_beta 90.00
_cell_angle_gamma 90.00
loop_
_atom_site_label
_atom_site_fract_x
_atom_site_fract_y
_atom_site_fract_z
Na1 0.0000 0.0000 0.0000
Co1 0.0000 0.0000 0.5000
Hg1 0.0000 0.5000 0.5000
Se1 0.5000 0.5000 0.0000
# - energy relative to the elements, uncorrected (kJ/mol of atoms) = 39.9

[9]
# NaCoSn2Hg GGA-PBE optimized geometry
data_NaCoSn2Hg
_chemical_formula_sum 'Na1 Co1 Sn2 Hg1'
_symmetry_space_group_name_H-M 'P 4/m m m'
_symmetry_Int_Tables_number 123
_symmetry_space_group_name_Hall '-P 4 2'
_cell_length_a 4.8976
_cell_length_b 4.8976
_cell_length_c 5.1814
_cell_angle_alpha 90.00
_cell_angle_beta 90.00
_cell_angle_gamma 90.00
loop_
_atom_site_label
_atom_site_fract_x
_atom_site_fract_y
_atom_site_fract_z
Na1 0.0000 0.0000 0.0000
Co1 0.5000 0.5000 0.5000
Sn1 0.0000 0.5000 0.5000
Hg1 0.5000 0.5000 0.0000
# - excess energy over the best structure of this formula in the dataset (kcal/mol of atoms) = 0.000
# - ΔE_f (eV/atom) = 0.000

[10]
# NaCoSn2Hg GGA-PBE optimized geometry
data_NaCoSn2Hg
_chemical_formula_sum 'Na1 Co1 Sn2 Hg1'
_symmetry_space_group_name_H-M 'P 4/m m m'
_symmetry_Int_Tables_number 123
_symmetry_space_group_name_Hall '-P 4 2'
_cell_length_a 4.8201
_cell_length_b 4.8201
_cell_length_c 5.5788
_cell_angle_alpha 90.00
_cell_angle_beta 90.00
_cell_angle_gamma 90.00
loop_
_atom_site_label
_atom_site_fract_x
_atom_site_fract_y
_atom_site_fract_z
Na1 0.0000 0.0000 0.0000
Co1 0.0000 0.0000 0.5000
Sn1 0.0000 0.5000 0.5000
Hg1 0.5000 0.5000 0.0000
# - excess energy over the best structure of this formula in the dataset (kcal/mol of atoms) = 0.751
# - ΔE_f (eV/atom) = 0.032

[11]
# NaSrCoHg2 GGA-PBE optimized geometry
data_NaSrCoHg2
_chemical_formula_sum 'Na1 Sr1 Co1 Hg2'
_symmetry_space_group_name_H-M 'P 4/m m m'
_symmetry_Int_Tables_number 123
_symmetry_space_group_name_Hall '-P 4 2'
_cell_length_a 5.1124
_cell_length_b 5.1124
_cell_length_c 5.0794
_cell_angle_alpha 90.00
_cell_angle_beta 90.00
_cell_angle_gamma 90.00
loop_
_atom_site_label
_atom_site_fract_x
_atom_site_fract_y
_atom_site_fract_z
Na1 0.0000 0.0000 0.0000
Sr1 0.5000 0.5000 0.0000
Co1 0.0000 0.0000 0.5000
Hg1 0.0000 0.5000 0.5000
# - ΔE_f (eV/atom) = 0.086

[12]
# NaTa2CoHg GGA-PBE optimized geometry
data_NaTa2CoHg
_chemical_formula_sum 'Na1 Ta2 Co1 Hg1'
_symmetry_space_group_name_H-M 'P 4/m m m'
_symmetry_Int_Tables_number 123
_symmetry_space_group_name_Hall '-P 4 2'
_cell_length_a 4.7100
_cell_length_b 4.7100
_cell_length_c 4.2500
_cell_angle_alpha 90.00
_cell_angle_beta 90.00
_cell_angle_gamma 90.00
loop_
_atom_site_label
_atom_site_fract_x
_atom_site_fract_y
_atom_site_fract_z
Na1 0.0000 0.0000 0.0000
Ta1 0.0000 0.5000 0.0000
Co1 0.0000 0.0000 0.5000
Hg1 0.5000 0.5000 0.5000
# - ΔE_f (eV/atom) = 2.112

[13]
# NaTlCoHg2 GGA-PBE optimized geometry
data_NaTlCoHg2
_chemical_formula_sum 'Na1 Tl1 Co1 Hg2'
_symmetry_space_group_name_H-M 'P 4/m m m'
_symmetry_Int_Tables_number 123
_symmetry_space_group_name_Hall '-P 4 2'
_cell_length_a 5.1135
_cell_length_b 5.1135
_cell_length_c 5.0041
_cell_angle_alpha 90.00
_cell_angle_beta 90.00
_cell_angle_gamma 90.00
loop_
_atom_site_label
_atom_site_fract_x
_atom_site_fract_y
_atom_site_fract_z
Na1 0.0000 0.0000 0.0000
Tl1 0.5000 0.5000 0.0000
Co1 0.5000 0.5000 0.5000
Hg1 0.0000 0.5000 0.5000
# - ΔE_f (eV/atom) = 0.100

[14]
# NaTlCo2Hg GGA-PBE optimized geometry
data_NaTlCo2Hg
_chemical_formula_sum 'Na1 Tl1 Co2 Hg1'
_symmetry_space_group_name_H-M 'P 4/m m m'
_symmetry_Int_Tables_number 123
_symmetry_space_group_name_Hall '-P 4 2'
_cell_length_a 4.8299
_cell_length_b 4.8299
_cell_length_c 5.1985
_cell_angle_alpha 90.00
_cell_angle_beta 90.00
_cell_angle_gamma 90.00
loop_
_atom_site_label
_atom_site_fract_x
_atom_site_fract_y
_atom_site_fract_z
Na1 0.0000 0.0000 0.0000
Tl1 0.5000 0.5000 0.5000
Co1 0.0000 0.5000 0.0000
Hg1 0.0000 0.0000 0.5000
# - ΔE_f (eV/atom) = 1.404

[15]
# NbCo3Hg GGA-PBE optimized geometry
data_NbCo3Hg
_chemical_formula_sum 'Nb1 Co3 Hg1'
_symmetry_space_group_name_H-M 'P m -3 m'
_symmetry_Int_Tables_number 221
_symmetry_space_group_name_Hall '-P 4 2 3'
_cell_length_a 4.4771
_cell_length_b 4.4771
_cell_length_c 4.4771
_cell_angle_alpha 90.00
_cell_angle_beta 90.00
_cell_angle_gamma 90.00
loop_
_atom_site_label
_atom_site_fract_x
_atom_site_fract_y
_atom_site_fract_z
Nb1 0.0000 0.0000 0.0000
Co1 0.0000 0.0000 0.5000
Hg1 0.5000 0.5000 0.5000
# - excess energy over the best structure of this formula in the dataset (kcal/mol of atoms) = 0.000
# - ΔE_f (eV/atom) = 1.313

[16]
# NbCo3Hg GGA-PBE optimized geometry
data_NbCo3Hg
_chemical_formula_sum 'Nb1 Co3 Hg1'
_symmetry_space_group_name_H-M 'P m -3 m'
_symmetry_Int_Tables_number 221
_symmetry_space_group_name_Hall '-P 4 2 3'
_cell_length_a 4.6486
_cell_length_b 4.6486
_cell_length_c 4.6486
_cell_angle_alpha 90.00
_cell_angle_beta 90.00
_cell_angle_gamma 90.00
loop_
_atom_site_label
_atom_site_fract_x
_atom_site_fract_y
_atom_site_fract_z
Nb1 0.0000 0.0000 0.0000
Co1 0.0000 0.5000 0.5000
Hg1 0.5000 0.5000 0.5000
# - excess energy over the best structure of this formula in the dataset (kcal/mol of atoms) = 11.855
# - ΔE_f (eV/atom) = 1.827

[17]
# NbCoHg2 GGA-PBE optimized geometry
data_NbCoHg2
_chemical_formula_sum 'Nb4 Co4 Hg8'
_symmetry_space_group_name_H-M 'I -4 2 d'
_symmetry_Int_Tables_number 122
_symmetry_space_group_name_Hall 'I -4 2bw'
_cell_length_a 7.4674
_cell_length_b 7.4674
_cell_length_c 5.5500
_cell_angle_alpha 90.00
_cell_angle_beta 90.00
_cell_angle_gamma 90.00
loop_
_atom_site_label
_atom_site_fract_x
_atom_site_fract_y
_atom_site_fract_z
Nb1 0.0000 0.0000 0.0000
Co1 0.0000 0.0000 0.5000
Hg1 0.2206 0.2500 0.6250
# - ΔE_f (eV/atom) = 0.760

[18]
# Nb2CoHg GGA-PBE optimized geometry
data_Nb2CoHg
_chemical_formula_sum 'Nb8 Co4 Hg4'
_symmetry_space_group_name_H-M 'I -4 2 d'
_symmetry_Int_Tables_number 122
_symmetry_space_group_name_Hall 'I -4 2bw'
_cell_length_a 7.3406
_cell_length_b 7.3406
_cell_length_c 5.3189
_cell_angle_alpha 90.00
_cell_angle_beta 90.00
_cell_angle_gamma 90.00
loop_
_atom_site_label
_atom_site_fract_x
_atom_site_fract_y
_atom_site_fract_z
Nb1 0.1963 0.2500 0.1250
Co1 0.0000 0.0000 0.0000
Hg1 0.0000 0.0000 0.5000
# - ΔE_f (eV/atom) = 0.404

[19]
# NbCo2Hg GGA-PBE optimized geometry
data_NbCo2Hg
_chemical_formula_sum 'Nb4 Co8 Hg4'
_symmetry_space_group_name_H-M 'I -4 2 d'
_symmetry_Int_Tables_number 122
_symmetry_space_group_name_Hall 'I -4 2bw'
_cell_length_a 6.7845
_cell_length_b 6.7845
_cell_length_c 5.6502
_cell_angle_alpha 90.00
_cell_angle_beta 90.00
_cell_angle_gamma 90.00
loop_
_atom_site_label
_atom_site_fract_x
_atom_site_fract_y
_atom_site_fract_z
Nb1 0.0000 0.0000 0.0000
Co1 0.2195 0.2500 0.1250
Hg1 0.0000 0.0000 0.5000
# - ΔE_f (eV/atom) = 0.562

[20]
# NbCoHg2Pt GGA-PBE optimized geometry
data_NbCoHg2Pt
_chemical_formula_sum 'Nb1 Co1 Hg2 Pt1'
_symmetry_space_group_name_H-M 'P 4/m m m'
_symmetry_Int_Tables_number 123
_symmetry_space_group_name_Hall '-P 4 2'
_cell_length_a 4.8207
_cell_length_b 4.8207
_cell_length_c 4.6267
_cell_angle_alpha 90.00
_cell_angle_beta 90.00
_cell_angle_gamma 90.00
loop_
_atom_site_label
_atom_site_fract_x
_atom_site_fract_y
_atom_site_fract_z
Nb1 0.0000 0.0000 0.0000
Co1 0.5000 0.5000 0.5000
Hg1 0.0000 0.5000 0.5000
Pt1 0.5000 0.5000 0.0000
# - ΔE_f (eV/atom) = 0.943